Record 1
A plane-wave DFT calculation with GGA-PBE was carried out for a relaxed structure of BaMnRe3.

Cell: 4.908 4.908 4.908 Å, 90.00 90.00 90.00°
Fractional coordinates of all 5 atoms:
Ba1 0.000 0.000 0.000
Mn1 0.500 0.500 0.500
Re1 0.000 0.000 0.500
Re2 0.000 0.500 0.000
Re3 0.500 0.000 0.000

Computed properties:
Calculated volume ... 118 Å³/cell
Size of the total moment ... 0.32 μB/f.u.
Formation energy ... 4364 meV/atom
E ... -5.323 eV per atom
Offset from the most stable computed form ... 2883 meV per atom
Crystal system ... cubic
Space-group type ... Pm-3m



Record 2
A plane-wave DFT calculation with GGA-PBE was carried out for a relaxed structure of Sr2AlAg4Sn3.

Cell: 4.617 4.617 11.768 Å, 90.00 90.00 90.00°
Fractional coordinates of all 10 atoms:
Sr1 0.000 0.500 0.248
Sr2 0.500 0.000 0.752
Al1 0.000 0.000 0.500
Ag1 0.000 0.000 0.000
Ag2 0.000 0.500 0.631
Ag3 0.500 0.000 0.369
Ag4 0.500 0.500 0.000
Sn1 0.000 0.500 0.864
Sn2 0.500 0.000 0.136
Sn3 0.500 0.500 0.500

Computed properties:
Calculated volume ... 251 Å³/cell
Size of the total moment ... 0.00 μB/f.u.
Formation energy ... -318 meV/atom
E ... -3.370 eV per atom
Crystal system ... tetragonal
Space-group type ... P-4m2



- The lowest formation energy belongs to which entry?
  Sr2AlAg4Sn3



- Look up the size of the total moment of the first one.
  0.32 μB/f.u.